## TaMnCd3 (PBE-GGA)

Data for TaMnCd3 after structural relaxation.

Values from the calculation:
Density of states at the Fermi level (states/eV/atom): 1.301
E above lowest polymorph (meV per atom): 0
DFT formation energy (eV/f.u.): 6.75
Magnetization (Bohr magnetons per cell): 4.1
Final energy (eV/atom): -3.404
Space group: Pm-3m, No. 221

Unit cell a=4.875 b=4.875 c=4.875 alpha=90.00 beta=90.00 gamma=90.00
Positions (direct):
Cd 0.000 0.500 0.000
Cd 0.000 0.000 0.500
Cd 0.500 0.000 0.000
Ta 0.500 0.500 0.500
Mn 0.000 0.000 0.000